AlV2AgO | PBE+U | optimized geometry

POSCAR file:
```
AlV2AgO
1.0
4.077 0.000 0.000
0.000 4.077 0.000
0.000 0.000 4.846
Al V Ag O
1 2 1 1
Cartesian
0.000 0.000 0.000
0.000 2.039 2.423
2.039 0.000 2.423
2.039 2.039 0.000
2.039 2.039 2.423
```

Computed properties:
VASP energy, eV/atom: -5.282
Space group: No. 123